(1)
VASP calculation (PBE) on TcAgP2 after structural relaxation.

Cell lengths 5.1810, 5.1810, 5.1810 Å; angles 138.68, 138.68, 59.86 degrees
With the nearest neighbours (Å) after each atom.
Positions (direct):
Tc 0.0000 0.0000 0.0000  8 P 2.58-2.89, 4 Ag 2.89
Ag 0.2500 0.7500 0.5000  8 P 2.58-2.89, 4 Tc 2.89
P 0.5000 0.5000 0.0000  4 Tc 2.58, 4 P 2.89, 4 Ag 2.89
P 0.7500 0.2500 0.5000  4 Ag 2.58, 4 P 2.89, 4 Tc 2.89

Calculated values
Space-group type: I-4m2


(2)
VASP calculation (PBE) on Tc2AgP after structural relaxation.

Cell lengths 2.9256, 2.9256, 7.0902 Å; angles 90.00, 90.00, 90.00 degrees
With the nearest neighbours (Å) after each atom.
Positions (direct):
Tc 0.0000 0.0000 0.0000  4 P 2.44, 4 Tc 2.71
Tc 0.5000 0.5000 0.2466  8 Tc 2.71-2.93, 4 Ag 2.93
Ag 0.0000 0.0000 0.5397  4 P 2.86, 4 Ag 2.93, 4 Tc 2.93
P 0.5000 0.5000 0.8179  4 Tc 2.44

Calculated values
Space-group type: P4mm


(3)
VASP calculation (PBE) on TcAgP2 after structural relaxation.

Cell lengths 7.9779, 7.9779, 7.9779 Å; angles 21.99, 21.99, 21.99 degrees
With the nearest neighbours (Å) after each atom.
Positions (direct):
Tc 0.0000 0.0000 0.0000  6 P 2.43
Ag 0.5000 0.5000 0.5000  6 P 2.82, 6 Ag 3.04
P 0.2612 0.2612 0.2612  3 Tc 2.43
P 0.7388 0.7388 0.7388  3 Tc 2.43

Calculated values
Space-group type: R-3m


(4)
VASP calculation (PBE) on TcAgP2 after structural relaxation.

Cell lengths 3.1346, 3.9092, 5.0363 Å; angles 90.00, 90.00, 90.00 degrees
With the nearest neighbours (Å) after each atom.
Positions (direct):
Tc 0.0000 0.0000 0.0000  4 P 2.51
Ag 0.5000 0.0000 0.5000  4 P 2.51
P 0.0000 0.5000 0.5000  4 Ag 2.51
P 0.5000 0.5000 0.0000  4 Tc 2.51

Calculated values
Space-group type: Pmmm


no.,DFT total energy (eV/atom),energy of formation from the pure elements (eV per atom)
1,-5.571,0.438
2,-7.123,0.125
3,-6.079,-0.070
4,-5.482,0.527